## Na6SnHg2 (PBE-GGA)

Data for crystalline Na6SnHg2 at its relaxed geometry.

Values from the calculation:
* calculated formation energy: -0.1533 eV/atom
* space group: No. 189
* offset from the most stable computed form: 0.014 eV per atom

POSCAR file:
```
Na6SnHg2
1.0
9.323 0.000 0.000
-4.662 8.074 0.000
0.000 0.000 3.336
Na Sn Hg
6 1 2
Cartesian
-1.691 2.930 0.000
-3.255 5.637 1.668
1.407 2.437 1.668
3.383 0.000 0.000
2.970 5.144 0.000
6.509 0.000 1.668
0.000 0.000 0.000
0.000 5.383 1.668
4.662 2.691 1.668
```

***

## Mg2AlRh (PBE-GGA)

Data for crystalline Mg2AlRh at its relaxed geometry.

Values from the calculation:
* calculated formation energy: -0.2521 eV/atom
* space group: No. 160

POSCAR file:
```
Mg2AlRh
1.0
1.515 0.875 9.093
-1.515 0.875 9.093
0.000 -1.750 9.093
Mg Al Rh
2 1 1
Cartesian
0.000 0.000 0.000
0.000 0.000 6.365
0.000 0.000 20.686
0.000 0.000 13.377
```

***

## Sr14CaAc (PBE-GGA)

Data for crystalline Sr14CaAc at its relaxed geometry.

Values from the calculation:
* calculated formation energy: 0.0245 eV/atom
* space group: No. 38

POSCAR file:
```
Sr14CaAc
1.0
11.812 0.000 0.000
0.000 5.997 5.998
0.000 -5.997 5.998
Sr Ca Ac
14 1 1
Cartesian
0.000 0.000 0.000
0.000 2.996 8.995
0.000 -2.996 8.995
0.000 0.000 5.995
3.022 0.000 2.993
3.023 -2.999 5.993
3.023 2.999 5.993
3.024 0.000 8.993
5.906 -2.999 8.990
5.906 2.999 8.990
8.789 0.000 2.993
8.789 -2.999 5.993
8.789 2.999 5.993
8.787 0.000 8.993
5.906 0.000 5.989
5.906 0.000 11.990
```

***

## LiPd2CO (PBE-GGA)

Data for crystalline LiPd2CO at its relaxed geometry.

Values from the calculation:
* space group: No. 123
* formation energy from raw total energies: 1.131 eV per atom

POSCAR file:
```
LiPd2CO
1.0
4.333 0.000 0.000
0.000 4.333 0.000
0.000 0.000 3.160
Li Pd C O
1 2 1 1
Cartesian
0.000 0.000 0.000
0.000 2.166 0.000
2.166 0.000 0.000
2.166 2.166 1.580
0.000 0.000 1.580
```

***

## Sr2TcNi (PBE-GGA)

Data for crystalline Sr2TcNi at its relaxed geometry.

Values from the calculation:
* calculated formation energy: 0.7760 eV/atom
* space group: No. 65
* offset from the most stable computed form: 0.410 eV per atom

POSCAR file:
```
Sr2TcNi
1.0
3.794 -3.800 0.000
3.794 3.800 0.000
0.000 0.000 3.509
Sr Tc Ni
2 1 1
Cartesian
1.897 1.900 0.000
1.897 -1.900 0.000
0.000 0.000 1.755
3.794 0.000 1.755
```

***

## RbF2 (PBE-GGA)

Data for crystalline RbF2 at its relaxed geometry.

Values from the calculation:
* space group: No. 139
* formation energy from raw total energies: -1.875 eV per atom

POSCAR file:
```
RbF2
1.0
-1.986 1.986 3.905
1.986 -1.986 3.905
1.986 1.986 -3.905
Rb F
1 2
Cartesian
0.000 0.000 0.000
0.000 0.000 2.913
0.000 0.000 4.897
```

***

no.,V (Å³/cell)
1,251.2
2,72.3
3,849.7
4,59.3
5,101.2
6,61.6